The following is a PBE with a Hubbard U calculation of an optimized crystal structure of NbCoO3, from the Open Quantum Materials Database.

Values from the calculation:
- space-group type = Pm-3m
- total magnetization (μB/f.u.) = 2.5
- E_tot (eV/atom) = -7.455

a = 3.9768 Å, b = 3.9768 Å, c = 3.9768 Å
α = 90.00°, β = 90.00°, γ = 90.00°
Last column: nearest neighbours and their distance in Å.
Atoms (fractional coordinates):
O  0.5000  0.5000  0.0000  2 Nb 1.99
Co  0.0000  0.0000  0.0000  12 O 2.81
Nb  0.5000  0.5000  0.5000  6 O 1.99
O  0.0000  0.5000  0.5000  2 Nb 1.99
O  0.5000  0.0000  0.5000  2 Nb 1.99